The following is a PBE calculation of W2Se after structural relaxation, from Alexandria.

## Properties
- size of the total moment (μB per cell) = 0.00
- distance to the lowest polymorph of the same formula (meV per atom) = 713.0
- volume (Å³/f.u.) = 51.9
- formation energy from raw total energies (eV/f.u.) = 2.31
- D(E_F) (states/eV/cell) = 4.50
- total DFT energy (no corrections) (eV/atom) = -9.028

abc: 10.979 10.979 10.979
angles: 163.73 163.73 23.08
Fractional positions:
W 0.579 0.579 0.000
W 0.171 0.671 0.500
W 0.421 0.421 0.000
W 0.329 0.829 0.500
Se 0.000 0.000 0.000
Se 0.750 0.250 0.500